Record 1
Entry from the Alexandria database: crystalline SrCeNiN2 at its relaxed geometry (GGA-PBE).

Structure (POSCAR):
```
SrCeNiN2
1.0
4.4312 0.0000 0.0000
0.0000 5.9792 0.0840
0.0000 -1.7190 6.6885
Sr N Ni Ce
2 4 2 2
Cartesian
3.7642 2.5598 1.7141
0.6670 1.7003 5.0584
1.3340 3.7717 3.2622
1.3340 1.3479 0.1660
3.0972 2.9122 6.6065
3.0972 0.4884 3.5102
0.0000 0.0000 0.0000
0.0000 -0.8595 3.3442
2.3961 -1.2893 5.0164
2.0351 -0.4298 1.6721
```

As for the raw total energy: -6.71 eV per atom. As for the formation energy from raw total energies: -0.70 eV/atom.



Record 2
Entry from the Alexandria database: crystalline LiSn5 at its relaxed geometry (GGA-PBE).

Structure (POSCAR):
```
LiSn5
1.0
-0.5052 -1.4492 -4.3342
-0.4720 -4.3027 1.4937
-7.0595 3.1330 -0.2248
Sn Li
5 1
Cartesian
-5.4491 -2.2085 -1.0653
-2.5875 -0.4104 -2.0000
-2.5564 -1.8391 0.9129
-4.9751 0.6694 0.3560
-0.4886 -2.8759 -1.4203
0.0000 0.0000 0.0000
```

The calculation puts the excess energy over the best structure of this formula in the dataset at 0 kJ/mol of formula units. As for the raw total energy: -3.72 eV per atom. The calculation puts the formation energy at -1.511 kcal/mol of atoms.



Record 3
Entry from the Alexandria database: crystalline BaNaTe2N at its relaxed geometry (GGA-PBE).

Structure (POSCAR):
```
BaNaTe2N
1.0
-1.9962 0.9815 5.3674
5.1758 -1.4685 2.1935
1.4209 4.5537 -0.3043
Ba Na N Te
1 1 1 2
Cartesian
2.3002 2.0334 3.6283
0.0000 0.0000 0.0000
0.7104 2.2768 -0.1521
2.5879 -0.7342 1.0968
-0.9981 0.4908 2.6837
```

The calculation puts the excess energy over the best structure of this formula in the dataset at 0 kJ/mol of formula units. As for the raw total energy: -3.41 eV per atom. As for the formation energy from raw total energies: 0.16 eV/atom.



Record 4
Entry from the Alexandria database: crystalline AcLaPm3Y at its relaxed geometry (GGA-PBE).

Structure (POSCAR):
```
AcLaPm3Y
1.0
5.7719 0.0000 0.0000
0.0000 7.0622 -0.3845
0.0000 -2.1260 10.7636
Ac Y Pm La
2 2 6 2
Cartesian
1.4430 0.3752 2.9233
4.3289 4.5609 7.4557
1.4430 -0.2303 6.5101
4.3289 5.1665 3.8689
4.3289 2.3794 1.4304
1.4430 2.5567 8.9486
1.4430 -1.0204 10.0740
1.4430 3.3349 5.3371
4.3289 1.6012 5.0420
4.3289 5.9566 0.3050
1.4430 3.9901 1.7684
4.3289 0.9461 8.6107
```

As for the raw total energy: -4.91 eV per atom. The calculation puts the formation energy at 1.177 kcal/mol of atoms.



Record 5
Entry from the Alexandria database: crystalline Ho6GaSi2 at its relaxed geometry (GGA-PBE).

Structure (POSCAR):
```
Ho6GaSi2
1.0
7.8711 0.0092 -2.8719
-4.1574 6.8749 -2.3779
-0.0873 -0.0092 8.3782
Ho Si Ga
12 4 2
Cartesian
0.5098 1.6749 2.5569
-0.2838 4.2414 0.4011
1.2288 5.0262 3.5476
4.1169 5.0355 -2.8494
3.9102 2.6335 2.7273
3.1166 5.2000 0.5715
-1.7816 6.6641 2.5184
2.3977 1.8487 -0.4191
5.4080 0.2108 0.6100
5.2903 1.6841 -2.5013
-0.4904 1.8394 5.9778
-1.6639 5.1908 5.6297
2.2689 2.6252 5.0475
1.3576 4.2497 -1.9191
4.9281 0.0000 3.4862
2.8557 0.0000 2.0202
-2.1224 3.4328 3.0002
0.0000 0.0000 0.0000
```

As for the raw total energy: -5.14 eV per atom. As for the formation energy from raw total energies: -0.55 eV/atom.



Record 6
Entry from the Alexandria database: crystalline ZrSi2Ni3 at its relaxed geometry (GGA-PBE).

Structure (POSCAR):
```
ZrSi2Ni3
1.0
3.7002 0.0000 0.0000
-1.8501 7.1449 -2.3478
0.0000 -0.0147 9.0623
Si Ni Zr
6 9 3
Cartesian
0.0000 5.1614 3.2555
1.8501 1.9688 3.4590
1.8501 4.2790 6.4470
0.0000 2.8512 0.2675
0.0000 6.6189 -0.2100
1.8501 0.5113 6.9245
0.0000 5.4081 5.4909
1.8501 4.0531 4.1707
1.8501 2.5658 7.9354
1.8501 1.7221 1.2236
1.8501 -0.0073 4.5311
0.0000 0.5962 2.8878
0.0000 4.5644 -1.2209
1.8501 6.5340 3.8267
0.0000 3.0771 2.5438
1.8501 4.9442 1.1351
0.0000 0.0000 0.0000
0.0000 2.1860 5.5794
```

As for the raw total energy: -6.88 eV per atom. As for the formation energy from raw total energies: -0.75 eV/atom.



Record 7
Entry from the Alexandria database: crystalline Rb3NaAg2Cl6 at its relaxed geometry (GGA-PBE).

Structure (POSCAR):
```
Rb3NaAg2Cl6
1.0
-6.9983 0.5121 -3.7327
0.2939 -2.3414 7.5896
-0.7502 8.0414 2.5098
Cl Rb Ag Na
6 3 2 1
Cartesian
-6.2297 4.5374 3.8405
-4.7682 0.7081 4.5647
-1.2249 1.6748 2.5263
-1.0696 0.4374 6.5375
-2.6863 5.5042 1.8020
-6.3850 5.7748 -0.1707
-4.8359 2.4381 0.9394
-2.6186 3.7742 5.4274
0.0000 0.0000 0.0000
-2.3127 0.4954 4.4040
-5.1418 5.7168 1.9627
-0.3751 4.0207 1.2549
```

As for the raw total energy: -3.07 eV per atom. As for the formation energy from raw total energies: -1.32 eV/atom.



Record 8
Entry from the Alexandria database: crystalline HfBeGe at its relaxed geometry (GGA-PBE).

Structure (POSCAR):
```
HfBeGe
1.0
-3.4609 -0.6416 1.1624
1.2052 -0.1564 3.5019
-0.9827 6.4346 0.6255
Ge Be Hf
2 2 2
Cartesian
-0.1572 4.8968 2.2346
-1.9533 1.1388 0.7231
-1.1278 -0.3990 2.3322
0.0000 0.0000 0.0000
0.2601 2.1641 1.9689
-2.3707 3.8715 0.9887
```

As for the raw total energy: -6.50 eV per atom. The calculation puts the formation energy at -9.169 kcal/mol of atoms.



Record 9
Entry from the Alexandria database: crystalline Ta4Os3Rh at its relaxed geometry (GGA-PBE).

Structure (POSCAR):
```
Ta4Os3Rh
1.0
4.1340 0.0000 -1.1159
-0.2978 4.1268 -1.1034
-0.1350 -0.1841 7.7151
Ta Os Rh
4 3 1
Cartesian
3.2491 3.4672 3.8214
2.3700 2.5397 0.5645
0.4520 0.4755 1.6744
1.3311 1.4030 4.9313
-0.1489 2.0634 -0.5517
0.7465 3.0072 2.7655
2.9546 0.9355 2.7303
2.0670 0.0000 -0.5579
```

As for the raw total energy: -11.36 eV per atom. The calculation puts the formation energy at -7.065 kcal/mol of atoms.



Record 10
Entry from the Alexandria database: crystalline LiErBeZn at its relaxed geometry (GGA-PBE).

Structure (POSCAR):
```
LiErBeZn
1.0
-2.5866 -3.0104 -2.0650
-1.8031 -3.3704 2.3252
-4.4049 -0.0750 0.7800
Zn Er Li Be
1 1 1 1
Cartesian
-6.5959 -4.8419 0.7801
-2.1986 -1.6140 0.2600
-4.3973 -3.2279 0.5201
0.0000 0.0000 0.0000
```

As for the raw total energy: -2.93 eV per atom. The calculation puts the formation energy at -1.295 kcal/mol of atoms.



Record 11
Entry from the Alexandria database: crystalline Be2TcH at its relaxed geometry (GGA-PBE).

Structure (POSCAR):
```
Be2TcH
1.0
4.5358 0.0000 0.0000
0.0000 4.5358 0.0000
2.2679 2.2679 3.1794
Be H Tc
4 2 2
Cartesian
2.2684 1.1339 0.7948
2.2674 3.4018 0.7948
3.4018 4.5353 2.3845
5.6697 4.5363 2.3845
2.2679 4.5358 1.5897
2.2679 2.2679 0.0000
4.5358 2.2679 1.5897
0.0000 0.0000 0.0000
```

The calculation puts the excess energy over the best structure of this formula in the dataset at 0 kJ/mol of formula units. As for the raw total energy: -5.18 eV per atom.



Record 12
Entry from the Alexandria database: crystalline Pr2Nd3Er8 at its relaxed geometry (GGA-PBE).

Structure (POSCAR):
```
Pr2Nd3Er8
1.0
5.1770 0.0018 0.7239
0.0792 8.0859 -0.5843
-1.4799 -4.6872 10.5884
Er Pr Nd
8 2 3
Cartesian
-0.4983 4.4095 3.5542
4.2747 -1.0091 7.1738
2.1568 1.9938 3.4473
-0.3289 -0.5248 2.3527
1.6195 1.4066 7.2808
1.3494 -1.4577 9.2206
2.4270 4.8581 1.5074
4.1052 3.9252 8.3754
1.9992 -1.2473 4.5764
1.7771 4.6477 6.1516
-0.0794 2.4600 0.5630
2.5885 0.0009 0.3620
3.8557 0.9404 10.1651
```

The calculation puts the excess energy over the best structure of this formula in the dataset at 0 kJ/mol of formula units. As for the raw total energy: -4.48 eV per atom. The calculation puts the formation energy at 3.837 kcal/mol of atoms.



Record 13
Entry from the Alexandria database: crystalline In2HgBr at its relaxed geometry (GGA-PBE).

Structure (POSCAR):
```
In2HgBr
1.0
6.5275 0.0000 0.0000
3.2962 5.6341 0.0000
-4.9118 -2.8171 3.2475
In Br Hg
2 1 1
Cartesian
0.0000 0.0000 0.0000
1.6481 2.8171 1.6237
4.9118 2.8171 0.0000
3.2637 0.0000 1.6237
```

The calculation puts the excess energy over the best structure of this formula in the dataset at 20 kJ/mol of formula units. As for the raw total energy: -2.08 eV per atom. As for the formation energy from raw total energies: -0.22 eV/atom.



Record 14
Entry from the Alexandria database: crystalline TcRh3Se at its relaxed geometry (GGA-PBE).

Structure (POSCAR):
```
TcRh3Se
1.0
4.6764 0.0000 0.0000
0.0000 4.6764 0.0000
0.0000 0.0000 4.6764
Se Rh Tc
1 3 1
Cartesian
2.3382 2.3382 2.3382
0.0000 0.0000 2.3382
2.3382 0.0000 0.0000
0.0000 2.3382 0.0000
0.0000 0.0000 0.0000
```

The calculation puts the excess energy over the best structure of this formula in the dataset at 160 kJ/mol of formula units. As for the raw total energy: -5.94 eV per atom. As for the formation energy from raw total energies: 1.24 eV/atom.



Record 15
Entry from the Alexandria database: crystalline TlW3 at its relaxed geometry (GGA-PBE).

Structure (POSCAR):
```
TlW3
1.0
5.0718 0.0003 0.0000
1.7906 4.7452 0.0000
-3.4312 -2.3728 2.8845
W Tl
3 1
Cartesian
2.5359 0.0001 1.4422
0.8953 2.3726 1.4422
3.4312 2.3728 0.0000
0.0000 0.0000 0.0000
```

The calculation puts the excess energy over the best structure of this formula in the dataset at 101 kJ/mol of formula units. As for the raw total energy: -9.47 eV per atom. The calculation puts the formation energy at 19.215 kcal/mol of atoms.



Record 16
Entry from the Alexandria database: crystalline TaPtCl2 at its relaxed geometry (GGA-PBE).

Structure (POSCAR):
```
TaPtCl2
1.0
-2.4488 1.8670 -0.2604
0.9530 -1.9517 -2.1984
-6.3675 -7.7743 4.1416
Cl Pt Ta
2 1 1
Cartesian
-3.6003 -4.3957 2.3417
-5.9510 -7.2657 3.8707
-2.3398 -1.9859 -0.1940
-5.5236 -5.8731 1.8768
```

The calculation puts the excess energy over the best structure of this formula in the dataset at 282 kJ/mol of formula units. As for the raw total energy: -5.33 eV per atom. As for the formation energy from raw total energies: 0.07 eV/atom.



Record 17
Entry from the Alexandria database: crystalline Be2VPt at its relaxed geometry (GGA-PBE).

Structure (POSCAR):
```
Be2VPt
1.0
9.2934 0.0000 0.0000
4.6467 2.3247 -1.1381
4.6467 -0.1651 2.5830
V Be Pt
1 2 1
Cartesian
0.0000 0.0000 0.0000
2.4127 0.0000 0.0000
6.8807 0.0000 0.0000
4.6467 0.0000 0.0000
```

The calculation puts the excess energy over the best structure of this formula in the dataset at 287 kJ/mol of formula units. As for the raw total energy: -5.32 eV per atom. The calculation puts the formation energy at 7.748 kcal/mol of atoms.



Record 18
Entry from the Alexandria database: crystalline La2Dy3YAs6 at its relaxed geometry (GGA-PBE).

Structure (POSCAR):
```
La2Dy3YAs6
1.0
-0.2324 -1.7688 3.8134
7.5270 -3.5688 -1.1967
2.1946 8.9352 1.9543
As Y La Dy
6 1 2 3
Cartesian
5.0116 -0.3582 2.4632
3.8162 6.2243 5.4437
1.1289 1.5299 3.1024
8.3603 2.0678 1.4685
5.6730 -2.6267 -0.8727
4.4777 3.9558 2.1077
-0.1162 -0.8844 1.9067
6.3112 2.1175 3.6908
3.1780 1.4801 0.8802
6.9733 -0.2904 0.2902
3.6473 -2.6688 1.3083
2.5159 3.8880 4.2808
```

As for the raw total energy: -6.37 eV per atom. The calculation puts the formation energy at -35.451 kcal/mol of atoms.



Record 19
Entry from the Alexandria database: crystalline TaReCl2 at its relaxed geometry (GGA-PBE).

Structure (POSCAR):
```
TaReCl2
1.0
2.9847 0.0093 0.0001
0.7192 3.3673 -0.0001
1.4285 0.0465 9.1100
Ta Re Cl
1 1 2
Cartesian
1.6460 0.6209 3.9143
3.4975 2.3092 5.5061
2.0051 2.3042 7.4015
3.1387 0.6234 1.9379
```

The calculation puts the excess energy over the best structure of this formula in the dataset at 22 kJ/mol of formula units. As for the raw total energy: -7.44 eV per atom. As for the formation energy from raw total energies: -0.44 eV/atom.



Record 20
Entry from the Alexandria database: crystalline V3Cr2W2 at its relaxed geometry (GGA-PBE).

Structure (POSCAR):
```
V3Cr2W2
1.0
3.4452 0.0000 0.0000
1.7226 4.7323 0.3943
1.7226 1.6284 6.1942
Cr W V
2 2 3
Cartesian
3.4452 0.6963 1.2451
3.4452 5.6644 5.3434
1.7226 2.6407 1.5456
5.1678 3.7200 5.0429
3.4452 1.8873 3.4920
1.7226 0.0000 0.0000
3.4452 4.4734 3.0965
```

The calculation puts the excess energy over the best structure of this formula in the dataset at 119 kJ/mol of formula units. As for the raw total energy: -10.04 eV per atom. The calculation puts the formation energy at 7.425 kcal/mol of atoms.